Entry from the Alexandria database: a relaxed structure of TaCoSbO6 (PBE+U).

The value obtained for the total energy is -134.049 eV for the cell shown. As for the crystal system: trigonal.

The space group is P-31c (No. 163) and the conventional cell measures 5.2556, 5.2556 and 9.0769 Å, with angles of 90.00, 90.00 and 120.00 degrees. Symmetry generates all atoms from Ta at (0.3333, 0.6667, 0.2500), Co at (0.0000, 0.0000, 0.0000), Sb at (0.3333, 0.6667, 0.7500) and O at (0.0007, 0.3519, 0.1320).